# 1
! CsAlCoS3 | the Open Quantum Materials Database | GGA-PBE | relaxed; values from VASP
! E	-4.799	eV per atom
&SYSTEM
  ibrav = 0, nat = 12, ntyp = 4
/
ATOMIC_SPECIES
Cs 132.91 Cs.upf
Al 26.98 Al.upf
Co 58.93 Co.upf
S 32.06 S.upf
CELL_PARAMETERS angstrom
1.7986 -7.6961 0.0000
1.7986 7.6961 0.0000
0.0000 0.0000 10.0128
ATOMIC_POSITIONS crystal
Cs 0.2432 0.7568 0.7500
Cs 0.7568 0.2432 0.2500
Al 0.5000 0.5000 0.0000
Al 0.5000 0.5000 0.5000
Co 0.0338 0.9662 0.2500
Co 0.9662 0.0338 0.7500
S 0.1017 0.8983 0.0490
S 0.1017 0.8983 0.4510
S 0.4505 0.5495 0.2500
S 0.5495 0.4505 0.7500
S 0.8983 0.1017 0.5490
S 0.8983 0.1017 0.9510



# 2
! Nb2InCo2Bi | the Open Quantum Materials Database | GGA-PBE | relaxed; values from VASP
! E	-6.926	eV per atom
&SYSTEM
  ibrav = 0, nat = 12, ntyp = 4
/
ATOMIC_SPECIES
Nb 92.91 Nb.upf
In 114.82 In.upf
Co 58.93 Co.upf
Bi 208.98 Bi.upf
CELL_PARAMETERS angstrom
-3.0081 3.0081 6.0257
3.0081 -3.0081 6.0257
3.0081 3.0081 -6.0257
ATOMIC_POSITIONS crystal
Nb 0.2449 0.2449 0.0000
Nb 0.5051 0.0051 0.5000
Nb 0.7551 0.7551 0.0000
Nb 0.9949 0.4949 0.5000
In 0.0000 0.0000 0.0000
In 0.7500 0.2500 0.5000
Co 0.1267 0.1250 0.5017
Co 0.3750 0.8733 0.9983
Co 0.6233 0.6250 0.4983
Co 0.8750 0.3767 0.0017
Bi 0.2500 0.7500 0.5000
Bi 0.5000 0.5000 0.0000



# 3
! Y2Tm3Lu2Ni2Te2 | the Open Quantum Materials Database | GGA-PBE | relaxed; values from VASP
! E	-5.477	eV per atom
&SYSTEM
  ibrav = 0, nat = 11, ntyp = 5
/
ATOMIC_SPECIES
Y 88.91 Y.upf
Tm 168.93 Tm.upf
Lu 174.97 Lu.upf
Ni 58.69 Ni.upf
Te 127.60 Te.upf
CELL_PARAMETERS angstrom
-1.9106 7.7084 4.7667
1.9106 -7.7084 4.7667
1.9106 7.7084 -4.7667
ATOMIC_POSITIONS crystal
Y 0.1316 0.0000 0.1316
Y 0.8684 0.0000 0.8684
Tm 0.5154 0.2011 0.3143
Tm 0.5797 0.5797 0.0000
Tm 0.8867 0.2011 0.6857
Lu 0.2066 0.8539 0.3527
Lu 0.5012 0.8539 0.6473
Ni 0.2741 0.5085 0.7656
Ni 0.7429 0.5085 0.2344
Te 0.2486 0.2486 0.0000
Te 0.8423 0.3423 0.5000



# 4
! TbNdHg | the Open Quantum Materials Database | GGA-PBE | relaxed; values from VASP
! E	-3.328	eV per atom
&SYSTEM
  ibrav = 0, nat = 3, ntyp = 3
/
ATOMIC_SPECIES
Tb 158.93 Tb.upf
Nd 144.24 Nd.upf
Hg 200.59 Hg.upf
CELL_PARAMETERS angstrom
0.0000 3.6628 3.6628
3.6628 0.0000 3.6628
3.6628 3.6628 0.0000
ATOMIC_POSITIONS crystal
Tb 0.0000 0.0000 0.0000
Nd 0.5000 0.5000 0.5000
Hg 0.7500 0.7500 0.7500



# 5
! SmAlMo | the Open Quantum Materials Database | GGA-PBE | relaxed; values from VASP
! E	-5.175	eV per atom
&SYSTEM
  ibrav = 0, nat = 3, ntyp = 3
/
ATOMIC_SPECIES
Sm 150.36 Sm.upf
Al 26.98 Al.upf
Mo 95.94 Mo.upf
CELL_PARAMETERS angstrom
0.0000 3.3617 3.3617
3.3617 0.0000 3.3617
3.3617 3.3617 0.0000
ATOMIC_POSITIONS crystal
Sm 0.0000 0.0000 0.0000
Al 0.7500 0.7500 0.7500
Mo 0.2500 0.2500 0.2500



# 6
! TlHg3 | the Open Quantum Materials Database | GGA-PBE | relaxed; values from VASP
! E	-0.842	eV per atom
&SYSTEM
  ibrav = 0, nat = 8, ntyp = 2
/
ATOMIC_SPECIES
Tl 204.38 Tl.upf
Hg 200.59 Hg.upf
CELL_PARAMETERS angstrom
-3.3510 4.7657 3.4969
3.3510 -4.7657 3.4969
3.3510 4.7657 -3.4969
ATOMIC_POSITIONS crystal
Tl 0.2525 0.0025 0.2500
Tl 0.7475 0.9975 0.7500
Hg 0.2490 0.0000 0.7490
Hg 0.2491 0.4991 0.7500
Hg 0.2490 0.5000 0.2490
Hg 0.7510 0.0000 0.2510
Hg 0.7510 0.5000 0.7510
Hg 0.7509 0.5009 0.2500



# 7
! ZnS | the Open Quantum Materials Database | GGA-PBE | relaxed; values from VASP
! E	-3.505	eV per atom
&SYSTEM
  ibrav = 0, nat = 4, ntyp = 2
/
ATOMIC_SPECIES
Zn 65.41 Zn.upf
S 32.06 S.upf
CELL_PARAMETERS angstrom
3.8405 0.0000 0.0000
-1.9203 3.3260 0.0000
0.0000 0.0000 6.2495
ATOMIC_POSITIONS crystal
Zn 0.3333 0.6667 0.0000
Zn 0.6667 0.3333 0.5000
S 0.3333 0.6667 0.3769
S 0.6667 0.3333 0.8769



# 8
! PmFePb | the Open Quantum Materials Database | GGA-PBE | relaxed; values from VASP
! E	-5.506	eV per atom
&SYSTEM
  ibrav = 0, nat = 3, ntyp = 3
/
ATOMIC_SPECIES
Pm 145.00 Pm.upf
Fe 55.84 Fe.upf
Pb 207.20 Pb.upf
CELL_PARAMETERS angstrom
0.0000 3.3598 3.3598
3.3598 0.0000 3.3598
3.3598 3.3598 0.0000
ATOMIC_POSITIONS crystal
Pm 0.0000 0.0000 0.0000
Fe 0.7500 0.7500 0.7500
Pb 0.5000 0.5000 0.5000